# 1
First-principles (PBE) data for Zn2NiCl after structural relaxation, as listed in the Alexandria database.

Results
ΔE_f (raw) ... -15.6 kJ/mol of atoms
D(E_F) ... 2.1 states/eV per cell
Uncorrected energy ... -10.8 eV for the cell shown
Energy above the lowest structure with this stoichiometry ... 0.17 eV/f.u.
Space-group type ... Pm, No. 6

```
Zn2NiCl
1.0
3.704 0.000 0.000
0.000 3.084 -0.035
0.000 0.119 6.695
Cl Ni Zn
1 1 2
Cartesian
0.000 0.807 2.991
1.852 2.434 6.256
0.000 0.888 5.960
1.852 0.795 1.476
```

***

# 2
First-principles (PBE) data for MnCoMo after structural relaxation, as listed in the Alexandria database.

Results
D(E_F) ... 3.7 states/eV per cell
Uncorrected energy ... -26.8 eV for the cell shown
Calculated formation energy ... 111.1 meV per atom
Energy above the lowest structure with this stoichiometry ... 0.35 eV/f.u.
Space-group type ... I4mm, No. 107

```
MnCoMo
1.0
-4.727 0.034 -3.638
-3.577 -2.180 -4.246
-1.755 -1.288 1.362
Co Mn Mo
1 1 1
Cartesian
-1.823 -1.297 1.266
-6.031 -1.848 -4.675
-3.960 -1.577 -1.751
```